{"formula": "Cr2NiSb", "functional": "GGA-PBE", "state": "relaxed", "formation_energy_uncorrected_ev_per_atom": 0.10, "cell": [[-4.447, -0.768, 0.994], [-0.809, -4.385, -1.213], [3.346, 1.735, 2.673]], "species": ["Cr", "Cr", "Ni", "Sb"], "fractional_positions": [[0.250, 0.750, 0.500], [0.000, 0.000, 0.000], [0.500, 0.500, 0.000], [0.750, 0.250, 0.500]]}



{"formula": "Pm5Ho2Er12", "functional": "GGA-PBE", "state": "relaxed", "ef_ev_per_atom": 0.18, "cell": [[6.990, 0.000, 0.000], [-3.495, 8.617, 2.917], [0.000, 0.428, 10.345]], "species": ["Er", "Er", "Er", "Er", "Er", "Er", "Er", "Er", "Er", "Er", "Er", "Er", "Pm", "Pm", "Pm", "Pm", "Pm", "Ho", "Ho"], "fractional_positions": [[0.498, 0.996, 0.675], [0.911, 0.326, 0.477], [0.911, 0.316, 0.131], [0.584, 0.674, 0.523], [0.405, 0.316, 0.131], [0.416, 0.326, 0.477], [0.089, 0.674, 0.523], [0.975, 0.949, 0.248], [0.089, 0.684, 0.869], [0.502, 0.004, 0.325], [0.595, 0.684, 0.869], [0.025, 0.051, 0.752], [0.187, 0.375, 0.818], [0.681, 0.362, 0.791], [0.813, 0.625, 0.182], [0.000, 0.000, 0.500], [0.319, 0.638, 0.209], [0.271, 0.000, 0.000], [0.729, 0.000, 0.000]]}